First-principles (GGA-PBEsol) data for Ni21Sn2P6 after structural relaxation, as listed in Alexandria via LeMat-Bulk.

Geometry as POSCAR:
```
Ni21Sn2P6
1.0
0.000 5.483 5.483
5.483 0.000 5.483
5.483 5.483 0.000
Ni Sn P
21 2 6
direct
0.000 0.000 0.000
0.000 0.000 0.348
0.000 0.000 0.652
0.000 0.348 0.000
0.000 0.348 0.652
0.000 0.652 0.000
0.000 0.652 0.348
0.151 0.616 0.616
0.348 0.000 0.000
0.348 0.000 0.652
0.348 0.652 0.000
0.384 0.384 0.384
0.384 0.384 0.849
0.384 0.849 0.384
0.616 0.151 0.616
0.616 0.616 0.151
0.616 0.616 0.616
0.652 0.000 0.000
0.652 0.000 0.348
0.652 0.348 0.000
0.849 0.384 0.384
0.250 0.250 0.250
0.750 0.750 0.750
0.262 0.262 0.738
0.262 0.738 0.262
0.262 0.738 0.738
0.738 0.262 0.262
0.738 0.262 0.738
0.738 0.738 0.262
```

***

KTlAu2, relaxed, DFT GGA-PBEsol; ΔE to the lowest computed polymorph = 0.052 eV per atom
1.0
4.186 -2.417 0.000
4.186 2.417 0.000
-2.782 0.000 5.696
K Tl Au
1 1 2
direct
0.000 0.000 0.000
0.500 0.500 0.500
0.187 0.187 0.562
0.813 0.813 0.438

***

First-principles (GGA-PBEsol) data for IrRu3 after structural relaxation, as listed in Alexandria via LeMat-Bulk.

Geometry as POSCAR:
```
IrRu3
1.0
-1.890 1.890 3.779
1.890 -1.890 3.779
1.890 1.890 -3.779
Ir Ru
1 3
direct
0.000 0.000 0.000
0.250 0.750 0.500
0.500 0.500 0.000
0.750 0.250 0.500
```

***

First-principles (GGA-PBEsol) data for LaHf3Mo after structural relaxation, as listed in Alexandria via LeMat-Bulk.

Geometry as POSCAR:
```
LaHf3Mo
1.0
4.975 0.000 0.000
0.000 4.975 0.000
0.000 0.000 4.975
La Hf Mo
1 3 1
direct
0.000 0.000 0.000
0.000 0.000 0.500
0.000 0.500 0.000
0.500 0.000 0.000
0.500 0.500 0.500
```

***

| no. | VASP energy (eV/atom) | calculated formation energy (eV per atom) |
| --- | --- | --- |
| 1 | -6.418 | -0.47 |
| 2 | -2.983 | -0.08 |
| 3 | -10.056 | 0.03 |
| 4 | -7.711 | 2.01 |